Sm12Dy2Y | PBE | optimized geometry

Results
- volume (Å³/cell) = 1023
- spin magnetization (μB/cell) = 0.00
- ΔH_f (0 K) (eV/atom) = 0.16

```
30
Lattice="3.576 -5.752 0.000 3.576 5.752 0.000 0.000 0.000 24.870" Properties=species:S:1:pos:R:3 pbc="T T T"
Sm 1.796 2.876 3.219
Sm 3.576 5.739 22.967
Sm 1.916 2.876 14.565
Sm 3.576 5.490 10.937
Sm 1.788 0.000 4.965
Sm 1.788 0.000 8.097
Sm 1.788 0.000 16.773
Sm 1.788 0.000 19.904
Sm 3.576 0.263 10.937
Sm 5.235 2.876 14.565
Sm 3.576 0.013 22.967
Sm 5.356 2.876 3.219
Sm 1.796 -2.876 21.651
Sm 3.576 -0.013 1.903
Sm 1.916 -2.876 10.305
Sm 3.576 -0.263 13.932
Sm 5.363 0.000 4.965
Sm 5.363 0.000 8.097
Sm 5.363 0.000 16.773
Sm 5.363 0.000 19.904
Sm 3.576 -5.490 13.932
Sm 5.235 -2.876 10.305
Sm 3.576 -5.739 1.903
Sm 5.356 -2.876 21.651
Dy 3.576 2.876 6.731
Dy 3.576 2.876 18.250
Dy 3.576 -2.876 6.620
Dy 3.576 -2.876 18.138
Y 3.576 2.876 0.012
Y 3.576 -2.876 24.857
```

Sm2DyY | PBE | optimized geometry

Results
- volume (Å³/cell) = 267
- spin magnetization (μB/cell) = 0.00
- ΔH_f (0 K) (eV/atom) = 0.02

```
8
Lattice="5.740 0.000 0.000 0.000 7.334 0.000 0.000 0.000 6.331" Properties=species:S:1:pos:R:3 pbc="T T T"
Sm 1.435 7.334 1.060
Sm 1.435 3.668 1.060
Sm 4.305 0.001 5.271
Sm 4.305 3.667 5.271
Dy 1.435 1.834 4.224
Dy 4.305 5.501 2.107
Y 1.435 5.501 4.204
Y 4.305 1.834 2.128
```

Sm8Dy4Y | PBE | optimized geometry

Results
- volume (Å³/cell) = 481
- spin magnetization (μB/cell) = 0.00
- ΔH_f (0 K) (eV/atom) = 0.48

```
13
Lattice="5.542 3.200 4.518 -5.542 3.200 4.518 0.000 -6.399 4.518" Properties=species:S:1:pos:R:3 pbc="T T T"
Sm 0.000 0.000 3.254
Sm 0.000 -3.326 5.601
Sm -2.880 1.663 5.601
Sm -2.880 -1.663 7.954
Sm 2.880 1.663 5.601
Sm 2.880 -1.663 7.954
Sm 0.000 3.326 7.954
Sm 0.000 0.000 10.301
Dy 0.000 0.000 0.000
Dy -2.771 -1.600 4.518
Dy -2.771 1.600 9.037
Dy 0.000 3.200 4.518
Y 0.000 0.000 6.778
```

SmDy4Y10 | PBE | optimized geometry

Results
- volume (Å³/cell) = 572
- spin magnetization (μB/cell) = 0.00
- ΔH_f (0 K) (eV/atom) = 0.74

```
15
Lattice="-6.094 6.094 3.853 6.094 -6.094 3.853 6.094 6.094 -3.853" Properties=species:S:1:pos:R:3 pbc="T T T"
Sm 0.000 0.000 0.000
Dy 4.879 2.427 0.000
Dy 3.667 -1.215 3.853
Dy 2.427 7.309 0.000
Dy 1.215 3.667 3.853
Y 7.321 3.652 -1.917
Y 3.652 4.867 -1.917
Y 6.094 0.000 1.926
Y 2.442 1.227 1.936
Y -1.227 2.442 1.936
Y 7.321 3.652 1.917
Y 3.652 4.867 1.917
Y 0.000 6.094 1.926
Y 2.442 1.227 5.769
Y -1.227 2.442 5.769
```

Sm3DyY3 | PBE | optimized geometry

Results
- volume (Å³/cell) = 236
- spin magnetization (μB/cell) = 0.00
- ΔH_f (0 K) (eV/atom) = 0.23

```
7
Lattice="4.967 2.868 2.766 -4.967 2.868 2.766 0.000 -5.736 2.766" Properties=species:S:1:pos:R:3 pbc="T T T"
Sm -1.762 -1.017 2.766
Sm 1.762 -1.017 2.766
Sm 0.000 2.034 2.766
Dy 0.000 0.000 0.348
Y -1.991 -1.150 6.315
Y 1.991 -1.150 6.315
Y 0.000 2.299 6.315
```

Sm8Dy3Y2 | PBE | optimized geometry

Results
- volume (Å³/cell) = 447
- spin magnetization (μB/cell) = 0.00
- ΔH_f (0 K) (eV/atom) = 0.21

```
13
Lattice="10.191 -3.847 0.000 10.191 3.847 0.000 -0.001 0.000 5.696" Properties=species:S:1:pos:R:3 pbc="T T T"
Sm 8.033 2.251 0.000
Sm 3.448 0.000 2.850
Sm 12.349 2.251 5.696
Sm 7.506 0.000 2.850
Sm 12.875 0.000 2.846
Sm 8.033 -2.251 0.000
Sm 16.934 0.000 2.846
Sm 12.349 -2.251 5.696
Dy 10.191 2.197 2.848
Dy 10.191 0.000 0.000
Dy 10.191 -2.197 2.848
Y 5.285 0.000 0.003
Y 15.096 0.000 5.693
```

Sm3DyY2 | PBE | optimized geometry

Results
- volume (Å³/cell) = 395
- spin magnetization (μB/cell) = 0.00
- ΔH_f (0 K) (eV/atom) = 0.00

```
12
Lattice="7.247 0.000 0.000 3.621 6.279 0.000 1.816 1.052 8.684" Properties=species:S:1:pos:R:3 pbc="T T T"
Sm 1.812 1.042 1.445
Sm 5.435 5.233 4.338
Sm 7.247 6.288 7.231
Sm 5.436 1.042 1.454
Sm 7.248 2.097 4.346
Sm 10.872 6.289 7.240
Dy 3.623 2.097 4.346
Dy 9.060 5.233 4.338
Y 3.622 4.178 1.456
Y 5.436 3.150 7.240
Y 7.247 4.180 1.445
Y 9.061 3.152 7.229
```

Sm12Dy2Y5 | PBE | optimized geometry

Results
- volume (Å³/cell) = 633
- spin magnetization (μB/cell) = 0.00
- ΔH_f (0 K) (eV/atom) = 0.10

```
19
Lattice="8.910 -5.857 0.000 8.910 5.857 0.000 -1.350 0.000 6.069" Properties=species:S:1:pos:R:3 pbc="T T T"
Sm 4.320 2.995 4.865
Sm 0.602 0.000 1.665
Sm 6.548 2.925 2.324
Sm 9.922 2.925 3.746
Sm 5.425 0.000 6.066
Sm 12.150 2.995 1.205
Sm 4.320 -2.995 4.865
Sm 11.044 0.000 0.003
Sm 6.548 -2.925 2.324
Sm 9.922 -2.925 3.746
Sm 15.867 0.000 4.404
Sm 12.150 -2.995 1.205
Dy 8.910 2.699 0.000
Dy 8.910 -2.699 0.000
Y 1.977 0.000 5.228
Y 4.460 0.000 2.708
Y 8.235 0.000 3.035
Y 12.010 0.000 3.361
Y 14.492 0.000 0.841
```

Sm3Dy8Y2 | PBE | optimized geometry

Results
- volume (Å³/cell) = 417
- spin magnetization (μB/cell) = 0.00
- ΔH_f (0 K) (eV/atom) = 0.02

```
13
Lattice="6.172 0.000 0.000 1.036 7.905 0.000 1.017 3.881 8.545" Properties=species:S:1:pos:R:3 pbc="T T T"
Sm 0.000 0.000 0.000
Sm 3.082 1.211 1.313
Sm 5.143 10.575 7.232
Dy 2.052 9.367 5.909
Dy 2.056 6.963 3.291
Dy 2.058 4.555 0.656
Dy 3.077 6.037 6.565
Dy 5.148 5.749 1.979
Dy 6.168 7.231 7.888
Dy 6.169 4.823 5.254
Dy 6.173 2.419 2.635
Y 3.080 3.626 3.941
Y 5.145 8.160 4.603
```

Sm3Dy4Y2 | PBE | optimized geometry

Results
- volume (Å³/cell) = 582
- spin magnetization (μB/cell) = 0.00
- ΔH_f (0 K) (eV/atom) = 0.10

```
18
Lattice="8.259 -5.809 0.000 8.259 5.809 0.000 -0.698 0.000 6.067" Properties=species:S:1:pos:R:3 pbc="T T T"
Sm 7.735 4.626 4.550
Sm 4.869 1.142 5.557
Sm 5.218 -1.142 2.524
Sm 10.602 1.142 3.544
Sm 10.951 -1.142 0.510
Sm 8.084 -4.626 1.517
Dy 3.306 1.634 2.103
Dy 7.142 1.597 2.940
Dy 2.958 -1.634 5.136
Dy 9.027 1.597 0.094
Dy 6.793 -1.597 5.974
Dy 12.862 1.634 0.931
Dy 8.678 -1.597 3.127
Dy 12.513 -1.634 3.965
Y 6.146 4.224 1.116
Y 10.022 4.224 1.918
Y 5.798 -4.224 4.149
Y 9.673 -4.224 4.951
```

Sm3Dy5Y4 | PBE | optimized geometry

Results
- volume (Å³/cell) = 396
- spin magnetization (μB/cell) = 0.30
- ΔH_f (0 K) (eV/atom) = 0.23

```
12
Lattice="8.010 -2.961 0.000 8.010 2.961 0.000 -4.128 0.000 8.339" Properties=species:S:1:pos:R:3 pbc="T T T"
Sm 0.000 0.000 0.000
Sm 1.497 0.000 6.404
Sm 10.395 0.000 1.935
Dy -1.695 0.000 5.817
Dy 1.168 0.000 3.225
Dy 8.010 0.000 0.000
Dy 10.725 0.000 5.114
Dy 13.587 0.000 2.522
Y 4.138 0.000 1.017
Y 4.400 0.000 4.673
Y 7.493 0.000 3.666
Y 7.754 0.000 7.322
```

Sm2DyY | PBE | optimized geometry

Results
- volume (Å³/cell) = 266
- spin magnetization (μB/cell) = 0.00
- ΔH_f (0 K) (eV/atom) = 0.02

```
8
Lattice="3.656 0.000 0.000 0.000 11.503 0.000 0.000 0.000 6.321" Properties=species:S:1:pos:R:3 pbc="T T T"
Sm 0.000 2.865 0.000
Sm 0.000 8.638 0.000
Sm 1.828 2.886 3.161
Sm 1.828 8.617 3.161
Dy 0.000 5.752 2.098
Dy 1.828 0.000 5.259
Y 0.000 0.000 2.103
Y 1.828 5.752 5.264
```